Computed, not measured: a relaxed Cs3Ge2Sb5 crystal at the PBE level of DFT.

The structure belongs to space group Ibam (No. 72); the cell edges are 10.316, 18.127 and 7.909 Å and the angles 90.00°, 90.00° and 90.00°. The distinct sites, in fractional coordinates, are Cs at (0.000, 0.000, 0.250), Cs at (0.238, 0.363, 0.000), Ge at (0.104, 0.153, 0.000), Sb at (0.000, 0.246, 0.250), Sb at (0.000, 0.500, 0.250) and Sb at (0.124, 0.369, 0.500).

For the total magnetic moment, the calculation gives 0.0 μB/f.u. As for the total energy: -3.327 eV/atom. As for the crystal system: orthorhombic. Its uncorrected formation energy is -86 meV per atom.